A plane-wave DFT calculation with GGA-PBE was carried out for a relaxed structure of LaRh2Se.

Structure (POSCAR):
```
LaRh2Se
1.0
3.5810 0.0000 0.0000
0.0000 3.6111 0.0000
0.0000 0.0000 6.0332
La Rh Se
1 2 1
Cartesian
1.7905 1.8055 4.5249
0.0000 0.0000 0.1520
0.0000 0.0000 2.8646
1.7905 1.8055 1.5083
```

Summary:
Space group = Pmmm
Size of the total moment = 0.000 μB per atom
Energy relative to the elements, uncorrected = -0.333 eV/atom

A plane-wave DFT calculation with GGA-PBE was carried out for a relaxed structure of La4Te2RhSe.

Structure (POSCAR):
```
La4Te2RhSe
1.0
-3.0227 -2.9544 0.9700
5.3370 -5.5457 -0.2598
-0.3623 2.7804 7.3397
Rh La Se Te
1 4 1 2
Cartesian
1.1571 -4.2500 0.3551
-0.2611 -2.2336 2.0773
3.7921 -3.4250 1.3852
2.2131 -3.4860 5.9727
1.1826 0.6598 5.6948
0.0000 0.0000 0.0000
-1.6925 -0.0870 4.1549
2.4874 -1.3826 3.5400
```

Summary:
Space group = P2/m
Size of the total moment = 0.000 μB per atom
Energy relative to the elements, uncorrected = -1.460 eV/atom

A plane-wave DFT calculation with GGA-PBE was carried out for a relaxed structure of La2ZrRhSe.

Structure (POSCAR):
```
La2ZrRhSe
1.0
-5.0062 1.6414 1.8587
-2.1585 -3.4310 -2.7837
0.3677 -3.6499 4.2136
Se La Rh Zr
1 2 1 1
Cartesian
0.0000 0.0000 0.0000
0.1838 -1.8249 2.1068
-2.5031 0.8207 0.9293
-3.3985 -2.7197 1.6443
-1.0792 -1.7155 -1.3918
```

Summary:
Space group = P4/mmm
Size of the total moment = 0.000 μB per atom
Energy relative to the elements, uncorrected = -0.097 eV/atom

A plane-wave DFT calculation with GGA-PBE was carried out for a relaxed structure of LaZr2RhSe.

Structure (POSCAR):
```
LaZr2RhSe
1.0
-3.3337 -1.3178 3.7738
3.3758 -3.8285 1.6453
2.2897 3.3983 3.2094
Zr La Se Rh
2 1 1 1
Cartesian
1.1449 1.6991 1.6047
-1.6669 -0.6589 1.8869
0.0000 0.0000 0.0000
1.6879 -1.9142 0.8227
1.1659 -0.8740 4.3142
```

Summary:
Space group = P4/mmm
Size of the total moment = 0.132 μB per atom
Energy relative to the elements, uncorrected = 1.454 eV/atom

A plane-wave DFT calculation with GGA-PBE was carried out for a relaxed structure of La4SiRh.

Structure (POSCAR):
```
La4SiRh
1.0
6.2833 -0.0890 0.0000
-1.7137 7.8229 0.0000
-2.2848 -3.8669 7.0795
La Rh Si
8 2 2
Cartesian
3.0918 -1.0005 2.7021
-0.9988 1.6548 6.1546
4.4277 5.4772 0.9250
0.0498 0.9560 2.7021
-0.8070 4.8674 4.3774
-2.1429 -1.6103 6.1546
3.2836 2.2122 0.9250
2.2350 2.9110 4.3774
-2.4277 3.9337 7.0179
4.7125 -0.0668 0.0616
0.7140 3.8892 1.7450
1.5708 -0.0223 5.3345
```

Summary:
Space group = C2/c
Size of the total moment = 0.000 μB per atom
Energy relative to the elements, uncorrected = -0.512 eV/atom

A plane-wave DFT calculation with GGA-PBE was carried out for a relaxed structure of La2SiRh.

Structure (POSCAR):
```
La2SiRh
1.0
-1.1315 -4.7829 0.1194
4.5467 -1.0366 1.5615
-1.2025 0.3781 3.7523
Si La Rh
1 2 1
Cartesian
1.6721 -0.3293 2.6569
1.7076 -2.9098 0.8404
0.0000 0.0000 0.0000
-1.1670 -2.2024 1.9359
```

Summary:
Space group = P4/mmm
Size of the total moment = 0.000 μB per atom
Energy relative to the elements, uncorrected = -0.571 eV/atom

A plane-wave DFT calculation with GGA-PBE was carried out for a relaxed structure of LaSi2Rh.

Structure (POSCAR):
```
LaSi2Rh
1.0
3.2738 0.0000 0.0000
0.0000 3.2740 0.0000
0.0000 0.0000 6.8275
Rh Si La
1 2 1
Cartesian
1.6369 1.6370 5.7043
1.6369 1.6370 1.2871
0.0000 0.0000 6.7402
0.0000 0.0000 3.3372
```

Summary:
Space group = P4mm
Size of the total moment = 0.000 μB per atom
Energy relative to the elements, uncorrected = -0.455 eV/atom

A plane-wave DFT calculation with GGA-PBE was carried out for a relaxed structure of LaSi2Rh.

Structure (POSCAR):
```
LaSi2Rh
1.0
0.0000 3.3413 3.3413
3.3413 0.0000 3.3413
3.3413 3.3413 0.0000
Si La Rh
2 1 1
Cartesian
5.0119 5.0119 5.0119
1.6706 1.6706 1.6706
3.3413 3.3413 3.3413
0.0000 0.0000 0.0000
```

Summary:
Space group = Fm-3m
Size of the total moment = 0.000 μB per atom
Energy relative to the elements, uncorrected = -0.275 eV/atom

A plane-wave DFT calculation with GGA-PBE was carried out for a relaxed structure of La4SiRh.

Structure (POSCAR):
```
La4SiRh
1.0
0.0000 4.3831 4.3831
4.3831 0.0000 4.3831
4.3831 4.3831 0.0000
La Rh Si
4 1 1
Cartesian
3.2860 3.2860 3.2860
5.4803 5.4803 3.2860
5.4803 3.2860 5.4803
3.2860 5.4803 5.4803
6.5747 6.5747 6.5747
0.0000 0.0000 0.0000
```

Summary:
Space group = F-43m
Size of the total moment = 0.000 μB per atom
Energy relative to the elements, uncorrected = 0.485 eV/atom

A plane-wave DFT calculation with GGA-PBE was carried out for a relaxed structure of La2SiRh.

Structure (POSCAR):
```
La2SiRh
1.0
4.2460 -0.0016 -0.0019
2.4559 3.4638 -0.0019
1.7887 0.9240 7.4255
La Si Rh
2 1 1
Cartesian
4.2538 2.1975 3.5771
6.6934 3.4578 0.1301
6.3680 3.2896 5.5663
2.1227 1.0965 1.8554
```

Summary:
Space group = C2/m
Size of the total moment = 0.000 μB per atom
Energy relative to the elements, uncorrected = -0.469 eV/atom

A plane-wave DFT calculation with GGA-PBE was carried out for a relaxed structure of La3Si2Rh4.

Structure (POSCAR):
```
La3Si2Rh4
1.0
-3.2846 1.8363 1.8477
-0.9570 -0.6261 -5.8347
-1.8288 -7.5425 4.2451
Si La Rh
2 3 4
Cartesian
-3.0604 -5.0056 -0.4655
-3.0100 -1.3267 0.7236
-2.4829 -2.0957 -2.3310
-3.5875 -4.2366 2.5891
0.0000 0.0000 0.0000
-4.4889 -3.1425 -0.1008
-2.8909 0.4763 -0.8566
-3.1795 -6.8086 1.1147
-1.5815 -3.1898 0.3589
```

Summary:
Space group = C2/m
Size of the total moment = 0.000 μB per atom
Energy relative to the elements, uncorrected = -0.896 eV/atom

A plane-wave DFT calculation with GGA-PBE was carried out for a relaxed structure of La3Si2Rh.

Structure (POSCAR):
```
La3Si2Rh
1.0
-4.3298 -0.2529 0.5885
1.6679 -7.0156 9.2570
0.4233 9.7219 7.2917
Si Rh La
8 4 12
Cartesian
-1.2928 -0.3772 14.7411
0.6872 3.7180 14.7920
-2.3204 -1.8062 6.5669
-2.9258 -1.2646 2.3453
-0.9458 2.8307 2.3961
-2.5028 2.7077 7.1638
0.0818 4.2597 10.5704
0.2643 -0.2543 9.9735
-1.4389 2.2168 14.7810
-0.7997 0.2367 2.3563
-2.0286 -1.0540 9.0368
-0.2100 3.5074 8.1004
-1.6212 -5.6671 10.0518
-1.8063 4.6138 13.1075
-0.6401 4.4651 5.3474
-1.5985 -2.0116 11.7898
-2.7955 1.1603 4.3455
-0.1789 0.5251 7.0476
-2.4143 5.3080 8.9326
-0.4322 -2.1604 4.0297
0.1757 -2.8545 8.2046
0.5570 1.2931 12.7918
-0.6174 8.1205 7.0854
-2.0597 1.9283 10.0896
```

Summary:
Space group = Pnma
Size of the total moment = 0.000 μB per atom
Energy relative to the elements, uncorrected = -0.787 eV/atom

A plane-wave DFT calculation with GGA-PBE was carried out for a relaxed structure of LaSi2Rh.

Structure (POSCAR):
```
LaSi2Rh
1.0
5.6510 0.0162 0.0076
2.1157 5.2400 -0.0076
-2.9327 -4.0328 2.6589
La Si Rh
1 2 1
Cartesian
3.3008 -0.6942 1.3332
0.3285 0.2223 0.0000
3.5548 2.4058 0.0000
1.5332 1.9177 1.3257
```

Summary:
Space group = Immm
Size of the total moment = 0.001 μB per atom
Energy relative to the elements, uncorrected = -0.365 eV/atom

A plane-wave DFT calculation with GGA-PBE was carried out for a relaxed structure of LaSi3Rh3.

Structure (POSCAR):
```
LaSi3Rh3
1.0
-0.7434 -6.6172 -0.7499
3.0752 -4.2148 4.2048
-4.8941 -3.4606 5.4500
Rh Si La
6 6 2
Cartesian
-1.6079 -4.9488 5.4968
-3.3683 -7.6656 3.2690
-1.4543 -5.5274 2.6151
-1.1079 -8.7652 6.2898
0.8060 -6.6269 5.6359
-0.9544 -9.3438 3.4080
-1.4622 -7.6676 1.7548
-1.1000 -6.6249 7.1501
-3.3828 -5.4035 4.0954
0.8205 -8.8891 4.8094
-2.9360 -9.3159 4.8216
0.3737 -4.9767 4.0833
-3.2996 -10.6830 7.7230
0.7373 -3.6096 1.1819
```

Summary:
Space group = R-3
Size of the total moment = 0.000 μB per atom
Energy relative to the elements, uncorrected = -0.646 eV/atom

A plane-wave DFT calculation with GGA-PBE was carried out for a relaxed structure of LaSi2Rh.

Structure (POSCAR):
```
LaSi2Rh
1.0
-0.8813 4.0752 0.2010
-3.9144 1.3888 0.4162
-1.1232 1.7206 5.6490
Si Rh La
2 1 1
Cartesian
-4.7598 5.4720 1.2228
-4.3547 5.3463 5.3638
-1.5764 1.8123 0.4060
-2.9832 3.6103 3.0241
```

Summary:
Space group = Cm
Size of the total moment = 0.000 μB per atom
Energy relative to the elements, uncorrected = -0.791 eV/atom

A plane-wave DFT calculation with GGA-PBE was carried out for a relaxed structure of La2SiRh.

Structure (POSCAR):
```
La2SiRh
1.0
7.9344 0.0237 0.0144
6.7737 4.1318 0.0144
6.7737 1.9138 3.6619
Si Rh La
1 1 2
Cartesian
17.1072 4.8333 2.9391
9.7263 2.7480 1.6710
0.9197 0.2598 0.1580
4.4694 1.2627 0.7679
```

Summary:
Space group = R3m
Size of the total moment = 0.003 μB per atom
Energy relative to the elements, uncorrected = -0.732 eV/atom

A plane-wave DFT calculation with GGA-PBE was carried out for a relaxed structure of La2Si2Rh.

Structure (POSCAR):
```
La2Si2Rh
1.0
6.6939 0.0000 0.0000
0.0000 6.6939 0.0000
0.0000 0.0000 4.7924
Si La Rh
4 4 2
Cartesian
0.8828 2.4641 0.0000
2.4641 5.8111 0.0000
4.2298 0.8828 0.0000
5.8111 4.2298 0.0000
4.5173 5.5235 2.3962
5.5235 2.1766 2.3962
2.1766 1.1704 2.3962
1.1704 4.5173 2.3962
0.0000 0.0000 0.0000
3.3469 3.3469 0.0000
```

Summary:
Space group = P4/mbm
Size of the total moment = 0.000 μB per atom
Energy relative to the elements, uncorrected = -0.779 eV/atom

A plane-wave DFT calculation with GGA-PBE was carried out for a relaxed structure of LaSiRh3.

Structure (POSCAR):
```
LaSiRh3
1.0
-3.4367 3.4724 0.1546
-3.4661 -3.4074 -0.5182
-0.2603 -0.4739 4.8580
Rh Si La
3 1 1
Cartesian
-0.1302 -0.2370 2.4290
-1.7184 1.7362 0.0773
-1.7330 -1.7037 -0.2591
-3.5816 -0.2045 2.2472
0.0000 0.0000 0.0000
```

Summary:
Space group = Pm-3m
Size of the total moment = 0.000 μB per atom
Energy relative to the elements, uncorrected = 1.200 eV/atom

A plane-wave DFT calculation with GGA-PBE was carried out for a relaxed structure of LaSi2Rh2.

Structure (POSCAR):
```
LaSi2Rh2
1.0
-3.3689 1.2844 -2.0426
0.6533 -2.8914 -2.8956
-4.2509 -4.1368 0.2066
Rh Si La
2 2 1
Cartesian
-4.4888 -1.8280 -2.1526
-2.4777 -3.9158 -2.5791
-2.0971 -1.6552 -1.7854
-4.8694 -4.0886 -2.9463
0.0000 0.0000 0.0000
```

Summary:
Space group = I4/mmm
Size of the total moment = 0.000 μB per atom
Energy relative to the elements, uncorrected = -1.079 eV/atom

A plane-wave DFT calculation with GGA-PBE was carried out for a relaxed structure of LaSiRh.

Structure (POSCAR):
```
LaSiRh
1.0
6.0904 -0.0094 -0.0225
4.4020 4.2090 0.0225
-5.2371 -2.1227 2.2718
Rh Si La
1 1 1
Cartesian
3.1088 1.2443 0.0000
7.3844 2.9556 0.0000
10.4916 4.1992 0.0000
```

Summary:
Space group = I4mm
Size of the total moment = 0.000 μB per atom
Energy relative to the elements, uncorrected = -0.632 eV/atom